No. 1
Here is crystalline Ta3S2 at its relaxed geometry from the Alexandria database. Energies are from PBE.

abc: 9.1441 9.1441 7.5277
angles: 90.00 90.00 144.00
Atoms (fractional coordinates):
Ta: 0.2287 0.7287 0.6562
Ta: 0.7287 0.2287 0.3438
Ta: 0.4950 0.9950 0.9947
Ta: 0.9950 0.4950 0.0053
Ta: 0.8331 0.1666 0.7191
Ta: 0.1666 0.8331 0.2809
Ta: 0.3331 0.6666 0.2809
Ta: 0.6666 0.3331 0.7191
Ta: 0.8862 0.1019 0.1048
Ta: 0.1019 0.8862 0.8952
Ta: 0.3862 0.6019 0.8952
Ta: 0.6019 0.3862 0.1048
S: 0.8285 0.9096 0.8281
S: 0.9096 0.8285 0.1719
S: 0.3285 0.4096 0.1719
S: 0.4096 0.3285 0.8281
S: 0.2537 0.4873 0.5842
S: 0.4873 0.2537 0.4158
S: 0.7537 0.9873 0.4158
S: 0.9873 0.7537 0.5842

raw total energy	-9.5267	eV/atom
energy relative to the elements, uncorrected	-17.62	kcal/mol of atoms

No. 2
Here is crystalline CrFe2Pb at its relaxed geometry from the Alexandria database. Energies are from PBE.

abc: 6.9625 6.9625 5.6064
angles: 51.62 51.62 90.00
Site moments in Bohr magnetons follow the coordinates.
Atoms (fractional coordinates):
Pb: 0.0000 0.0000 0.0000  0.00
Pb: 0.7500 0.2500 0.5000  0.00
Cr: 0.5000 0.5000 0.0000  -2.02
Cr: 0.2500 0.7500 0.5000  -2.02
Fe: 0.5708 0.1250 0.2500  2.08
Fe: 0.1792 0.6250 0.2500  2.08
Fe: 0.3750 0.4292 0.7500  2.13
Fe: 0.8750 0.8208 0.7500  2.14

raw total energy	-6.7495	eV/atom
formation enthalpy at 0 K	814.8	meV per atom

No. 3
Here is crystalline Tb6Y2Er at its relaxed geometry from the Alexandria database. Energies are from PBE.

abc: 5.0338 10.6675 10.6674
angles: 90.00 90.00 90.00
Atoms (fractional coordinates):
Tb: 0.0000 0.9999 0.1665
Tb: 0.9999 0.6665 0.5001
Tb: 0.9999 0.6662 0.8339
Tb: 0.5001 0.1663 0.6661
Tb: 0.5001 0.1666 0.9999
Tb: 0.5000 0.4999 0.3334
Tb: 0.0000 0.0001 0.8335
Tb: 0.0001 0.3335 0.4999
Tb: 0.0001 0.3338 0.1661
Tb: 0.4999 0.8337 0.3339
Tb: 0.4999 0.8334 0.0001
Tb: 0.5000 0.5001 0.6666
Y: 0.0001 0.3337 0.8335
Y: 0.4999 0.8336 0.6666
Y: 0.5001 0.1664 0.3334
Y: 0.9999 0.6663 0.1665
Er: 0.5000 0.5000 0.0000
Er: 0.0000 0.0000 0.5000

raw total energy	-5.0112	eV/atom
formation enthalpy at 0 K	19.1	meV per atom

No. 4
Here is crystalline Tl3HgSb at its relaxed geometry from the Alexandria database. Energies are from PBE.

abc: 7.8728 8.5110 10.6896
angles: 116.22 90.00 90.00
Atoms (fractional coordinates):
Tl: 0.0145 0.1918 0.1953
Tl: 0.9855 0.8082 0.8047
Tl: 0.5145 0.8082 0.3047
Tl: 0.4855 0.1918 0.6953
Tl: 0.4660 0.2800 0.3384
Tl: 0.5340 0.7200 0.6616
Tl: 0.9660 0.7200 0.1616
Tl: 0.0340 0.2800 0.8384
Tl: 0.8364 0.3241 0.5346
Tl: 0.1636 0.6759 0.4654
Tl: 0.3364 0.6759 0.9654
Tl: 0.6636 0.3241 0.0346
Hg: 0.8315 0.9611 0.5748
Hg: 0.1685 0.0389 0.4252
Hg: 0.3315 0.0389 0.9252
Hg: 0.6685 0.9611 0.0748
Sb: 0.2814 0.4464 0.1414
Sb: 0.7186 0.5536 0.8586
Sb: 0.7814 0.5536 0.3586
Sb: 0.2186 0.4464 0.6414

raw total energy	-2.3140	eV/atom
energy relative to the elements, uncorrected	-0.22	kcal/mol of atoms
distance to the lowest polymorph of the same formula	0.0000	eV/atom

- The lowest raw total energy belongs to which entry?
  Ta3S2